The following is a DFT calculation (GGA-PBEsol) of a relaxed structure of YSc2Ag.

a = 3.354 Å, b = 3.354 Å, c = 8.274 Å
α = 90.00°, β = 90.00°, γ = 90.00°
Element x y z (fractional)
Y (0.000, 0.000, 0.000)
Sc (0.000, 0.000, 0.449)
Sc (0.500, 0.500, 0.710)
Ag (0.500, 0.500, 0.250)

Output
As for the volume: 93.1 Å³ per cell. The value obtained for the energy above the most stable polymorph in this dataset is 0.022 eV per atom. The space group is No. 99. The value obtained for the total magnetization is 0.00 μB per formula unit. The total energy comes out at -5.939 eV per atom. The density of states at the Fermi level comes out at 6.23 states/eV/f.u. The energy relative to the elements comes out at -0.103 eV/atom.